1.
Material: La5In2Ir2
Method: DFT, PBE
State: optimized geometry

## Properties
Calculated formation energy in eV per atom: -0.56
Raw total energy in eV per atom: -5.875
Magnetic moment in μB/atom: 0.000

a b c (Å): 16.4964 7.3904 8.7780
angles (deg): 90.00 90.00 90.00
Space group Cmce (No. 64)
One atom of each set of equivalent atoms:
La 0.0000 0.0000 0.0000 x4
La 0.1179 0.1576 0.3209 x16
In 0.2156 0.0000 0.0000 x8
Ir 0.0000 0.1355 0.6209 x8

---

2.
Material: BiB2Ru2
Method: DFT, PBE
State: optimized geometry

## Properties
Calculated formation energy in eV per atom: 0.59
Raw total energy in eV per atom: -6.570
Offset from the most stable computed form in meV per atom: 296
Magnetic moment in μB/atom: 0.000

a b c (Å): 7.0395 7.0395 2.9268
angles (deg): 90.00 90.00 90.00
Space group P4/mbm (No. 127)
One atom of each set of equivalent atoms:
Bi 0.0000 0.0000 0.0000 x2
B 0.0931 0.4069 0.5000 x4
Ru 0.1371 0.6371 0.0000 x4

---

3.
Material: La8Dy3Mg
Method: DFT, PBE
State: optimized geometry

## Properties
Calculated formation energy in eV per atom: 0.46
Raw total energy in eV per atom: -4.104
Magnetic moment in μB/atom: 0.000

a b c (Å): 8.7333 8.7333 11.8004
angles (deg): 90.00 90.00 90.00
Space group I-42m (No. 121)
One atom of each set of equivalent atoms:
La 0.1332 0.1332 0.2472 x8
La 0.2450 0.2450 0.9765 x8
Dy 0.0000 0.0000 0.5000 x2
Dy 0.0000 0.5000 0.2500 x4
Mg 0.0000 0.0000 0.0000 x2

---

4.
Material: CuTcPtS2
Method: DFT, PBE
State: optimized geometry

## Properties
Formation energy (no corrections) in eV/f.u.: 5.0
Raw total energy in eV per atom: -4.742
Magnetic moment in μB/atom: 0.794

a b c (Å): 4.3768 4.3768 4.7807
angles (deg): 90.00 90.00 90.00
Space group P4/mmm (No. 123)
One atom of each set of equivalent atoms:
Cu 0.0000 0.0000 0.0000 x1
Tc 0.5000 0.5000 0.5000 x1
Pt 0.0000 0.0000 0.5000 x1
S 0.0000 0.5000 0.0000 x2

---

Copy entry 4 word for word.
Material: CuTcPtS2
Method: DFT, PBE
State: optimized geometry

## Properties
Formation energy (no corrections) in eV/f.u.: 5.0
Raw total energy in eV per atom: -4.742
Magnetic moment in μB/atom: 0.794

a b c (Å): 4.3768 4.3768 4.7807
angles (deg): 90.00 90.00 90.00
Space group P4/mmm (No. 123)
One atom of each set of equivalent atoms:
Cu 0.0000 0.0000 0.0000 x1
Tc 0.5000 0.5000 0.5000 x1
Pt 0.0000 0.0000 0.5000 x1
S 0.0000 0.5000 0.0000 x2